# Y2MnTl GGA-PBE optimized geometry
data_Y2MnTl
_chemical_formula_sum 'Y4 Mn2 Tl2'
_cell_length_a 12.1308
_cell_length_b 3.5918
_cell_length_c 5.1337
_cell_angle_alpha 90.00
_cell_angle_beta 114.93
_cell_angle_gamma 90.00
_symmetry_space_group_name_H-M 'C 1 m 1'
_symmetry_Int_Tables_number 8
loop_
_symmetry_equiv_pos_as_xyz
'x,y,z'
'x,-y,z'
'x+1/2,y+1/2,z'
'x+1/2,-y+1/2,z'
loop_
_atom_site_label
_atom_site_fract_x
_atom_site_fract_y
_atom_site_fract_z
_atom_site_occupancy
Y1 0.0000 0.0000 0.0000 1
Y2 0.2107 0.0000 0.7102 1
Mn1 0.4696 0.0000 0.4701 1
Tl1 0.2688 0.5000 0.2679 1
# - energy of formation from the pure elements (eV/atom) = -0.005
# - V (Å³ per cell) = 202.85
# - mass density (kg/m3) = 7157